(1)
! Tm3Zn3Au (PBE-GGA, relaxed); values from VASP
&SYSTEM
  ibrav = 0, nat = 7, ntyp = 3
/
ATOMIC_SPECIES
Tm 168.93 Tm.upf
Zn 65.41 Zn.upf
Au 196.97 Au.upf
ATOMIC_POSITIONS angstrom
Tm 0.000 0.000 0.000
Tm 0.000 0.000 7.383
Tm 0.000 2.217 3.759
Zn 1.795 0.000 2.369
Zn 0.000 0.000 10.554
Zn 0.000 0.000 16.032
Au 1.795 0.000 4.959
CELL_PARAMETERS angstrom
-1.795 2.217 9.539
1.795 -2.217 9.539
1.795 2.217 -9.539
! **Theoretical density**: 9.84 g/cm3
! **Energy of formation**: -0.45 eV/atom
! **SG**: Imm2

(2)
! La2NiPd (PBE-GGA, relaxed); values from VASP
&SYSTEM
  ibrav = 0, nat = 8, ntyp = 3
/
ATOMIC_SPECIES
La 138.91 La.upf
Ni 58.69 Ni.upf
Pd 106.42 Pd.upf
ATOMIC_POSITIONS angstrom
La 0.177 1.120 3.260
La -1.079 1.120 6.906
La 4.319 3.360 0.536
La 3.063 3.360 4.181
Ni 0.100 3.360 5.270
Ni 3.140 1.120 2.171
Pd 1.390 3.360 1.558
Pd 1.850 1.120 5.883
CELL_PARAMETERS angstrom
5.892 0.000 0.000
0.000 4.480 0.000
-2.652 0.000 7.441
! **Theoretical density**: 7.49 g/cm3
! **Energy of formation**: -0.57 eV/atom
! **SG**: P2_1/m

(3)
! PdPt (PBE-GGA, relaxed); values from VASP
&SYSTEM
  ibrav = 0, nat = 4, ntyp = 2
/
ATOMIC_SPECIES
Pd 106.42 Pd.upf
Pt 195.08 Pt.upf
ATOMIC_POSITIONS angstrom
Pd 0.697 0.992 0.702
Pd 2.092 2.976 4.898
Pt 0.697 0.992 3.493
Pt 2.092 2.976 2.107
CELL_PARAMETERS angstrom
2.789 0.000 0.000
0.000 3.967 0.000
0.000 0.000 5.600
! **Theoretical density**: 16.16 g/cm3
! **Energy of formation**: -0.02 eV/atom
! **SG**: Pmmn

(4)
! SnP (PBE-GGA, relaxed); values from VASP
&SYSTEM
  ibrav = 0, nat = 12, ntyp = 2
/
ATOMIC_SPECIES
Sn 118.71 Sn.upf
P 30.97 P.upf
ATOMIC_POSITIONS angstrom
Sn 0.000 0.035 0.000
Sn 2.347 1.161 3.561
Sn 4.241 2.794 0.313
Sn 6.588 3.919 3.248
Sn 8.935 2.794 0.313
Sn 10.829 1.161 3.561
P 0.000 1.914 4.588
P 2.741 0.824 6.099
P 3.847 3.130 2.851
P 6.588 2.041 1.340
P 9.329 3.130 2.851
P 10.435 0.824 6.099
CELL_PARAMETERS angstrom
13.176 0.000 0.000
0.000 3.955 0.000
0.000 0.000 6.496
! **Theoretical density**: 4.41 g/cm3
! **Energy of formation**: 0.17 eV/atom
! **SG**: Pmn2_1